Below is an optimized crystal structure of Na2SiH12O9, with properties calculated at the PBEsol level.

Cell lengths 6.2318, 5.8347, 11.2489 Å; angles 90.00, 101.70, 90.00 degrees
Closest atoms and distances in Å follow each position.
Positions (direct):
Na 0.0664 0.0000 0.1124  6 O 2.31-2.48
Na 0.4272 0.0233 0.3553  3 O 2.31-2.51
Na 0.5728 0.5233 0.6447  3 O 2.31-2.51
Na 0.9336 0.5000 0.8876  6 O 2.31-2.48
Si 0.2047 0.0447 0.6255  4 O 1.62-1.68
Si 0.7953 0.5447 0.3745  4 O 1.62-1.68
H 0.0405 0.2398 0.3393  1 O 1.00
H 0.0682 0.4915 0.6544  1 O 0.99
H 0.0823 0.4900 0.1299  1 O 1.00
H 0.1560 0.9219 0.8635  1 O 1.00
H 0.1759 0.3795 0.5036  1 O 1.05
H 0.1993 0.6066 0.2956  1 O 1.01
H 0.2061 0.7475 0.4892  1 O 1.00
H 0.3146 0.2232 0.8611  1 O 1.01
H 0.3520 0.2841 0.0035  1 O 1.01
H 0.4120 0.6056 0.2296  1 O 1.01
H 0.4583 0.5411 0.8825  1 O 1.02
H 0.4634 0.7930 0.8193  1 O 1.02
H 0.5366 0.2930 0.1807  1 O 1.02
H 0.5417 0.0411 0.1175  1 O 1.02
H 0.5880 0.1056 0.7704  1 O 1.01
H 0.6480 0.7841 0.9965  1 O 1.01
H 0.6854 0.7232 0.1389  1 O 1.01
H 0.7939 0.2475 0.5108  1 O 1.00
H 0.8007 0.1066 0.7044  1 O 1.01
H 0.8241 0.8795 0.4964  1 O 1.05
H 0.8440 0.4219 0.1365  1 O 1.00
H 0.9177 0.9900 0.8701  1 O 1.00
H 0.9318 0.9915 0.3456  1 O 0.99
H 0.9595 0.7398 0.6607  1 O 1.00
O 0.0420 0.8919 0.9121  2 H 1.00
O 0.0486 0.0750 0.3156  2 H 0.99-1.00
O 0.0614 0.5106 0.3975  1 H 1.47, 1 Si 1.64
O 0.2585 0.3087 0.5856  1 H 1.05
O 0.2612 0.6719 0.2264  2 H 1.01
O 0.3049 0.3524 0.9202  2 H 1.01
O 0.3110 0.8493 0.5444  1 H 1.00
O 0.3312 0.0180 0.7658  4 H 1.60-1.79, 1 Si 1.62
O 0.4402 0.1592 0.1451  2 H 1.02
O 0.5598 0.6592 0.8549  2 H 1.02
O 0.6688 0.5180 0.2342  4 H 1.60-1.79, 1 Si 1.62
O 0.6890 0.3493 0.4556  1 H 1.00
O 0.6951 0.8524 0.0798  2 H 1.01
O 0.7388 0.1719 0.7736  2 H 1.01
O 0.7415 0.8087 0.4144  1 H 1.05
O 0.9386 0.0106 0.6025  1 H 1.47, 1 Si 1.64
O 0.9514 0.5750 0.6844  2 H 0.99-1.00
O 0.9580 0.3919 0.0879  2 H 1.00

Calculated values
volume	401	Å³ per cell
electronic total energy	-257.8	eV for the cell shown
density	1.908	g/cm³
magnetization	0.0	μB per formula unit



Below is an optimized crystal structure of Na3SiH3O5, with properties calculated at the PBEsol level.

Cell lengths 7.8012, 5.9462, 11.1532 Å; angles 90.00, 105.05, 90.00 degrees
Closest atoms and distances in Å follow each position.
Positions (direct):
Na 0.0193 0.2422 0.0626  5 O 2.30-2.45, 1 H 2.53
Na 0.0193 0.2578 0.5626  5 O 2.30-2.45, 1 H 2.53
Na 0.2445 0.0193 0.8328  1 H 2.30, 5 O 2.30-2.52
Na 0.2445 0.4807 0.3328  1 H 2.30, 5 O 2.30-2.52
Na 0.3996 0.1910 0.5655  1 H 2.26, 4 O 2.28-2.41
Na 0.3996 0.3090 0.0655  1 H 2.26, 4 O 2.28-2.41
Na 0.6004 0.6910 0.9345  1 H 2.26, 4 O 2.28-2.41
Na 0.6004 0.8090 0.4345  1 H 2.26, 4 O 2.28-2.41
Na 0.7555 0.5193 0.6672  1 H 2.30, 5 O 2.30-2.52
Na 0.7555 0.9807 0.1672  1 H 2.30, 5 O 2.30-2.52
Na 0.9807 0.7422 0.4374  5 O 2.30-2.45, 1 H 2.53
Na 0.9807 0.7578 0.9374  5 O 2.30-2.45, 1 H 2.53
Si 0.3107 0.7079 0.6363  4 O 1.62-1.69
Si 0.3107 0.7921 0.1363  4 O 1.62-1.69
Si 0.6893 0.2079 0.8637  4 O 1.62-1.69
Si 0.6893 0.2921 0.3637  4 O 1.62-1.69
H 0.0202 0.6150 0.1722  1 O 1.02
H 0.0202 0.8850 0.6722  1 O 1.02
H 0.1585 0.0225 0.2845  1 O 1.02
H 0.1585 0.4775 0.7845  1 O 1.02
H 0.4217 0.0817 0.3280  1 O 1.06
H 0.4217 0.4183 0.8280  1 O 1.06
H 0.5783 0.5817 0.1720  1 O 1.06
H 0.5783 0.9183 0.6720  1 O 1.06
H 0.8415 0.5225 0.2155  1 O 1.02
H 0.8415 0.9775 0.7155  1 O 1.02
H 0.9798 0.1150 0.3278  1 O 1.02
H 0.9798 0.3850 0.8278  1 O 1.02
O 0.0681 0.1489 0.2769  2 H 1.02
O 0.0681 0.3511 0.7769  2 H 1.02
O 0.1860 0.5652 0.1111  1 H 1.64, 1 Si 1.64
O 0.1860 0.9348 0.6111  1 H 1.64, 1 Si 1.64
O 0.2329 0.5116 0.5363  1 Si 1.62
O 0.2329 0.9884 0.0363  1 Si 1.62
O 0.3345 0.6309 0.7819  1 H 1.46
O 0.3345 0.8691 0.2819  1 H 1.46
O 0.4861 0.2219 0.3796  1 H 1.06
O 0.4861 0.2781 0.8796  1 H 1.06
O 0.5139 0.7219 0.1204  1 H 1.06
O 0.5139 0.7781 0.6204  1 H 1.06
O 0.6655 0.1309 0.7181  1 H 1.46
O 0.6655 0.3691 0.2181  1 H 1.46
O 0.7671 0.0116 0.9637  1 Si 1.62
O 0.7671 0.4884 0.4637  1 Si 1.62
O 0.8140 0.0652 0.3889  1 H 1.64, 1 Si 1.64
O 0.8140 0.4348 0.8889  1 H 1.64, 1 Si 1.64
O 0.9319 0.6489 0.2231  2 H 1.02
O 0.9319 0.8511 0.7231  2 H 1.02

Calculated values
volume	500	Å³ per cell
electronic total energy	-270.9	eV for the cell shown
density	2.394	g/cm³
magnetization	0.0	μB per formula unit



Below is an optimized crystal structure of Na8Zr3Si16SnH16O52, with properties calculated at the PBEsol level.

Cell lengths 7.5545, 8.8794, 16.8046 Å; angles 90.17, 91.67, 90.09 degrees
Closest atoms and distances in Å follow each position.
Positions (direct):
Na 0.1087 0.3131 0.3957  6 O 2.34-2.50, 1 H 2.44
Na 0.1104 0.1886 0.8958  6 O 2.33-2.51, 1 H 2.44
Na 0.3880 0.6829 0.1022  6 O 2.33-2.51, 1 H 2.43
Na 0.3901 0.8150 0.6034  6 O 2.34-2.51, 1 H 2.44
Na 0.6099 0.1850 0.3966  6 O 2.34-2.51, 1 H 2.44
Na 0.6120 0.3171 0.8978  6 O 2.33-2.51, 1 H 2.43
Na 0.8896 0.8114 0.1042  6 O 2.33-2.51, 1 H 2.44
Na 0.8913 0.6869 0.6043  6 O 2.34-2.50, 1 H 2.44
Zr 0.0000 0.0000 0.5000  6 O 2.06-2.10
Zr 0.0000 0.5000 0.0000  6 O 2.06-2.10
Zr 0.5000 0.5000 0.5000  6 O 2.06-2.09
Si 0.1131 0.6577 0.4164  4 O 1.61-1.67
Si 0.1180 0.8434 0.9188  4 O 1.61-1.67
Si 0.2484 0.9392 0.3392  4 O 1.61-1.65
Si 0.2494 0.5620 0.8413  4 O 1.61-1.65
Si 0.2498 0.0557 0.1564  4 O 1.62-1.65
Si 0.2514 0.4424 0.6593  4 O 1.61-1.65
Si 0.3877 0.1591 0.5846  4 O 1.61-1.67
Si 0.3888 0.3367 0.0825  4 O 1.61-1.67
Si 0.6112 0.6633 0.9175  4 O 1.61-1.67
Si 0.6123 0.8409 0.4154  4 O 1.61-1.67
Si 0.7486 0.5576 0.3407  4 O 1.61-1.65
Si 0.7502 0.9443 0.8436  4 O 1.62-1.65
Si 0.7506 0.4380 0.1587  4 O 1.61-1.65
Si 0.7516 0.0608 0.6608  4 O 1.61-1.65
Si 0.8820 0.1566 0.0812  4 O 1.61-1.67
Si 0.8869 0.3423 0.5836  4 O 1.61-1.67
Sn 0.5000 0.0000 0.0000  6 O 2.04-2.07
H 0.0607 0.6115 0.1695  1 O 0.99
H 0.0623 0.8880 0.6701  1 O 0.99
H 0.1507 0.7066 0.2414  1 O 0.99
H 0.1505 0.7931 0.7421  1 O 0.99
H 0.3515 0.2865 0.2579  1 O 0.99
H 0.3527 0.2124 0.7590  1 O 0.99
H 0.4382 0.1189 0.8323  1 O 0.99
H 0.4381 0.3831 0.3300  1 O 0.99
H 0.5619 0.6169 0.6700  1 O 0.99
H 0.5618 0.8811 0.1677  1 O 0.99
H 0.6473 0.7876 0.2410  1 O 0.99
H 0.6485 0.7135 0.7421  1 O 0.99
H 0.8495 0.2069 0.2579  1 O 0.99
H 0.8493 0.2934 0.7586  1 O 0.99
H 0.9377 0.1120 0.3299  1 O 0.99
H 0.9393 0.3885 0.8305  1 O 0.99
O 0.0487 0.0544 0.1180  2 Si 1.63-1.66
O 0.0497 0.4466 0.6221  2 Si 1.63-1.65
O 0.0528 0.7703 0.4866  1 Si 1.62
O 0.0619 0.7296 0.9889  1 Si 1.62
O 0.1138 0.4604 0.8904  1 Si 1.61, 1 H 1.75
O 0.1155 0.0406 0.3901  1 Si 1.61, 1 H 1.78
O 0.1421 0.6964 0.1826  2 H 0.99
O 0.1420 0.8025 0.6834  2 H 0.99
O 0.1833 0.7613 0.3405  2 Si 1.65-1.67, 1 H 1.74
O 0.1851 0.7401 0.8419  2 Si 1.65-1.67, 1 H 1.76
O 0.2421 0.0356 0.5569  1 Si 1.61
O 0.2416 0.4581 0.0552  1 Si 1.61
O 0.2461 0.9957 0.2474  2 Si 1.62
O 0.2510 0.5035 0.7501  2 Si 1.62
O 0.2577 0.5336 0.4433  1 Si 1.61
O 0.2606 0.9725 0.9430  1 Si 1.61
O 0.3168 0.2647 0.6597  2 Si 1.65-1.67, 1 H 1.75
O 0.3201 0.2320 0.1578  2 Si 1.65-1.67, 1 H 1.76
O 0.3580 0.2974 0.3166  2 H 0.99
O 0.3596 0.2046 0.8178  2 H 0.99
O 0.3855 0.5435 0.6092  1 Si 1.61, 1 H 1.78
O 0.3852 0.9526 0.1072  1 Si 1.62, 1 H 1.77
O 0.4498 0.2699 0.5142  1 Si 1.62
O 0.4505 0.5568 0.8793  2 Si 1.63-1.65
O 0.4512 0.2283 0.0106  1 Si 1.62
O 0.4512 0.9448 0.3755  2 Si 1.63-1.66
O 0.5488 0.0552 0.6245  2 Si 1.63-1.66
O 0.5488 0.7717 0.9894  1 Si 1.62
O 0.5495 0.4432 0.1207  2 Si 1.63-1.65
O 0.5502 0.7301 0.4858  1 Si 1.62
O 0.6148 0.0474 0.8928  1 Si 1.62, 1 H 1.77
O 0.6145 0.4565 0.3908  1 Si 1.61, 1 H 1.78
O 0.6404 0.7954 0.1822  2 H 0.99
O 0.6420 0.7026 0.6834  2 H 0.99
O 0.6799 0.7680 0.8422  2 Si 1.65-1.67, 1 H 1.76
O 0.6832 0.7353 0.3403  2 Si 1.65-1.67, 1 H 1.75
O 0.7394 0.0275 0.0570  1 Si 1.61
O 0.7423 0.4664 0.5567  1 Si 1.61
O 0.7490 0.4965 0.2499  2 Si 1.62
O 0.7539 0.0043 0.7526  2 Si 1.62
O 0.7584 0.5419 0.9448  1 Si 1.61
O 0.7579 0.9644 0.4431  1 Si 1.61
O 0.8149 0.2599 0.1581  2 Si 1.65-1.67, 1 H 1.76
O 0.8167 0.2387 0.6595  2 Si 1.65-1.67, 1 H 1.74
O 0.8580 0.1975 0.3166  2 H 0.99
O 0.8579 0.3036 0.8174  2 H 0.99
O 0.8845 0.9594 0.6099  1 Si 1.61, 1 H 1.78
O 0.8862 0.5396 0.1096  1 Si 1.61, 1 H 1.75
O 0.9381 0.2704 0.0111  1 Si 1.62
O 0.9472 0.2297 0.5134  1 Si 1.62
O 0.9503 0.5534 0.3779  2 Si 1.63-1.65
O 0.9513 0.9456 0.8820  2 Si 1.63-1.66

Calculated values
volume	1127	Å³ per cell
electronic total energy	-682.6	eV for the cell shown
density	2.761	g/cm³
magnetization	0.0	μB per formula unit



Below is an optimized crystal structure of Na2TiSi4H4O13, with properties calculated at the PBEsol level.

Cell lengths 8.9444, 8.7782, 7.4100 Å; angles 90.00, 112.61, 90.00 degrees
Closest atoms and distances in Å follow each position.
Positions (direct):
Na 0.1958 0.1892 0.2140  6 O 2.28-2.52, 1 H 2.41
Na 0.1958 0.3108 0.7140  6 O 2.28-2.52, 1 H 2.41
Na 0.8042 0.6892 0.2860  6 O 2.28-2.52, 1 H 2.41
Na 0.8042 0.8108 0.7860  6 O 2.28-2.52, 1 H 2.41
Ti 0.0000 0.0000 0.5000  6 O 1.92-1.98
Ti 0.0000 0.5000 0.0000  6 O 1.92-1.98
Si 0.1596 0.6609 0.6969  4 O 1.61-1.66
Si 0.1596 0.8391 0.1969  4 O 1.61-1.66
Si 0.3140 0.5585 0.4047  4 O 1.61-1.65
Si 0.3140 0.9415 0.9047  4 O 1.61-1.65
Si 0.6860 0.0585 0.0953  4 O 1.61-1.65
Si 0.6860 0.4415 0.5953  4 O 1.61-1.65
Si 0.8404 0.1609 0.8031  4 O 1.61-1.66
Si 0.8404 0.3391 0.3031  4 O 1.61-1.66
H 0.3305 0.1162 0.6020  1 O 1.00
H 0.3305 0.3838 0.1020  1 O 1.00
H 0.4817 0.2088 0.5890  1 O 0.99
H 0.4817 0.2912 0.0890  1 O 0.99
H 0.5183 0.7088 0.9110  1 O 0.99
H 0.5183 0.7912 0.4110  1 O 0.99
H 0.6695 0.6162 0.8980  1 O 1.00
H 0.6695 0.8838 0.3980  1 O 1.00
O 0.0213 0.7192 0.0690  1 Si 1.62
O 0.0213 0.7808 0.5690  1 Si 1.62
O 0.1011 0.5377 0.8176  1 Si 1.61
O 0.1011 0.9623 0.3176  1 Si 1.61
O 0.2127 0.0384 0.7111  1 Si 1.61, 1 H 1.70
O 0.2127 0.4616 0.2111  1 Si 1.61, 1 H 1.70
O 0.2316 0.5518 0.5669  2 Si 1.63-1.65
O 0.2316 0.9482 0.0669  2 Si 1.63-1.65
O 0.3173 0.7396 0.3452  2 Si 1.65-1.66, 1 H 1.73
O 0.3173 0.7604 0.8452  2 Si 1.65-1.66, 1 H 1.73
O 0.3621 0.2026 0.5370  2 H 0.99-1.00
O 0.3621 0.2974 0.0370  2 H 0.99-1.00
O 0.5000 0.0000 0.0000  2 Si 1.62
O 0.5000 0.5000 0.5000  2 Si 1.62
O 0.6379 0.7026 0.9630  2 H 0.99-1.00
O 0.6379 0.7974 0.4630  2 H 0.99-1.00
O 0.6827 0.2396 0.1548  2 Si 1.65-1.66, 1 H 1.73
O 0.6827 0.2604 0.6548  2 Si 1.65-1.66, 1 H 1.73
O 0.7684 0.0518 0.9331  2 Si 1.63-1.65
O 0.7684 0.4482 0.4331  2 Si 1.63-1.65
O 0.7873 0.5384 0.7889  1 Si 1.61, 1 H 1.70
O 0.7873 0.9616 0.2889  1 Si 1.61, 1 H 1.70
O 0.8989 0.0377 0.6824  1 Si 1.61
O 0.8989 0.4623 0.1824  1 Si 1.61
O 0.9787 0.2192 0.4310  1 Si 1.62
O 0.9787 0.2808 0.9310  1 Si 1.62

Calculated values
energy above the most stable polymorph in this dataset	0.0000	eV/atom
volume	537	Å³ per cell
electronic total energy	-342.1	eV for the cell shown
density	2.586	g/cm³
magnetization	0.0	μB per formula unit